[1]
## NdPdPt (GGA-PBE)

Data for a relaxed NdPdPt crystal.

```
NdPdPt
1.0
0.0000 3.2672 3.2672
3.2672 0.0000 3.2672
3.2672 3.2672 0.0000
Pd Pt Nd
1 1 1
direct
0.0000 0.0000 0.0000
0.7500 0.7500 0.7500
0.2500 0.2500 0.2500
```

Values from the calculation:
Volume in Å³ per atom: 23.3
Calculated formation energy in eV per atom: -0.65

---

[2]
## Nd3Sn3PdPt2 (GGA-PBE)

Data for a relaxed Nd3Sn3PdPt2 crystal.

```
Nd3Sn3PdPt2
1.0
-7.5474 1.1780 -0.2548
3.1073 -5.7451 -3.9693
-0.5046 -2.5271 3.2627
Nd Sn Pt Pd
3 3 2 1
direct
0.0000 0.4106 0.0000
0.5894 0.5894 0.0000
0.4106 0.0000 0.0000
0.0000 0.7478 0.5000
0.7478 0.0000 0.5000
0.2522 0.2522 0.5000
0.6667 0.3333 0.5000
0.3333 0.6667 0.5000
0.0000 0.0000 0.0000
```

Values from the calculation:
Volume in Å³ per atom: 23.4
E_tot in eV for the cell shown: -52.7

---

Total magnetic moment? In order: 0.0; 0.0 μB per formula unit.